Material: Pr2TlHg
Method: DFT, PBE
State: optimized geometry

Output
formation enthalpy at 0 K = -0.4285 eV per atom
crystal system = tetragonal
raw total energy = -3.49 eV per atom

Lattice parameters (Å, degrees): 3.866 3.866 7.963 90.00 90.00 90.00
Fractional positions:
Pr: 0.000 0.000 0.242
Pr: 0.000 0.000 0.758
Tl: 0.500 0.500 0.500
Hg: 0.500 0.500 0.000